VASP calculation (PBE-GGA) on crystalline SrTlHg2 at its relaxed geometry.

```
SrTlHg2
1.0
5.061 0.000 0.000
0.000 5.061 0.000
0.000 0.000 4.602
Sr Tl Hg
1 1 2
Direct
0.000 0.000 0.000
0.500 0.500 0.000
0.000 0.500 0.500
0.500 0.000 0.500
```

Values from the calculation:
- E_tot: -1.499 eV per atom
- Crystal system: tetragonal
- Spin magnetization: 0.00 μB/cell
- DOS(E_F): 3.1 states/eV/f.u.
- SG: No. 123
- Formation energy: -1.345 eV/f.u.